Record 1
A plane-wave DFT calculation with GGA-PBE was carried out for crystalline AcPr2NdBi4 at its relaxed geometry.

Output
As for the space group: P2/m (10). The calculated formation energy is -0.96 eV per atom. The density of states at the Fermi level comes out at 1.0 states/eV/cell.

Cell and atoms, written as POSCAR:
```
AcPr2NdBi4
1.0
-3.1239 -3.3476 -1.0520
2.8241 -0.2398 -7.6233
6.0109 -5.4562 -0.4871
Pr Bi Nd Ac
2 4 1 1
Cartesian
1.4435 -4.4019 -0.7696 Pr
6.0109 -5.4562 -0.4871 Pr
3.6849 -5.8735 -2.7429 Bi
2.0262 -3.1702 -6.4195 Bi
6.6666 -4.3021 -6.1068 Bi
-0.9555 -4.7415 -3.0556 Bi
-0.1499 -1.7937 -4.3377 Nd
4.4175 -2.8480 -4.0552 Ac
```

***

Record 2
A plane-wave DFT calculation with GGA-PBE was carried out for crystalline AcNd2SmBi4 at its relaxed geometry.

Output
As for the space group: P2/m (10). The calculated formation energy is -0.94 eV per atom. The density of states at the Fermi level comes out at 1.0 states/eV/cell.

Cell and atoms, written as POSCAR:
```
AcNd2SmBi4
1.0
4.6710 0.0000 0.0000
0.0000 8.0843 -0.1633
0.0000 2.8417 7.5678
Ac Bi Nd Sm
1 4 2 1
Cartesian
0.0000 5.4630 3.7023 Ac
4.6710 2.6916 1.7989 Bi
2.3355 4.1128 5.7175 Bi
2.3355 6.8133 1.6870 Bi
0.0001 8.2345 5.6056 Bi
0.0000 2.8417 7.5678 Nd
2.3355 1.4209 3.7839 Nd
2.3355 4.0422 -0.0817 Sm
```

***

Record 3
A plane-wave DFT calculation with GGA-PBE was carried out for crystalline Ac2NdSmBi5 at its relaxed geometry.

Output
As for the space group: P4/mmm (123). The calculated formation energy is -0.29 eV per atom. The density of states at the Fermi level comes out at 7.2 states/eV/cell.

Cell and atoms, written as POSCAR:
```
Ac2NdSmBi5
1.0
5.5595 0.0000 0.0000
0.0000 5.5595 0.0000
0.0000 0.0000 12.3031
Bi Ac Sm Nd
5 2 1 1
Cartesian
0.0000 2.7797 6.1515 Bi
2.7797 0.0000 6.1515 Bi
2.7797 2.7797 0.0000 Bi
0.0000 0.0000 3.0402 Bi
0.0000 0.0000 9.2629 Bi
2.7797 2.7797 3.4382 Ac
2.7797 2.7797 8.8649 Ac
0.0000 0.0000 6.1515 Sm
0.0000 0.0000 0.0000 Nd
```

***

Record 4
A plane-wave DFT calculation with GGA-PBE was carried out for crystalline Ac2NdSmBi4 at its relaxed geometry.

Output
As for the space group: P2/m (10). The calculated formation energy is -0.96 eV per atom. The density of states at the Fermi level comes out at 1.0 states/eV/cell.

Cell and atoms, written as POSCAR:
```
Ac2NdSmBi4
1.0
-2.8094 3.7982 0.3113
-6.0581 -4.1850 -3.6121
-4.4851 -3.7861 5.7177
Bi Nd Ac Sm
4 1 2 1
Cartesian
-7.8299 -5.9273 1.6560 Bi
-7.0000 -2.1428 -1.0253 Bi
-6.3527 -2.0302 3.4422 Bi
-5.5228 1.7543 0.7609 Bi
-4.4338 -0.1934 -1.6504 Nd
-4.4851 -3.7861 5.7177 Ac
-3.6473 0.0060 3.0145 Ac
-5.2716 -3.9855 1.0528 Sm
```

***

Record 5
A plane-wave DFT calculation with GGA-PBE was carried out for crystalline AcNdSmBi at its relaxed geometry.

Output
As for the space group: F-43m (216). The calculated formation energy is -0.21 eV per atom. The density of states at the Fermi level comes out at 3.3 states/eV/cell.

Cell and atoms, written as POSCAR:
```
AcNdSmBi
1.0
5.7242 0.0000 0.0000
2.8621 4.9573 0.0000
2.8621 1.6524 4.6738
Bi Sm Ac Nd
1 1 1 1
Cartesian
2.8621 1.6524 1.1685 Bi
0.0000 0.0000 0.0000 Sm
8.5864 4.9573 3.5054 Ac
5.7242 3.3049 2.3369 Nd
```

***

Record 6
A plane-wave DFT calculation with GGA-PBE was carried out for crystalline AcTb2NdBi4 at its relaxed geometry.

Output
As for the space group: P2/m (10). The calculated formation energy is -0.91 eV per atom. The density of states at the Fermi level comes out at 1.1 states/eV/cell.

Cell and atoms, written as POSCAR:
```
AcTb2NdBi4
1.0
-3.3525 2.0976 2.4013
-2.7059 -7.1192 2.4411
3.6315 -2.0327 6.8457
Bi Nd Tb Ac
4 1 2 1
Cartesian
-3.0299 -0.0920 4.7645 Bi
0.3967 -2.1628 6.9003 Bi
-2.8237 -4.8915 4.7878 Bi
0.6029 -6.9622 6.9236 Bi
0.4628 -4.5759 4.6434 Nd
3.6315 -2.0327 6.8457 Tb
0.1395 0.0325 4.6235 Tb
0.6023 -4.5435 9.2669 Ac
```

***

Record 7
A plane-wave DFT calculation with GGA-PBE was carried out for crystalline Ac2TbNdBi4 at its relaxed geometry.

Output
As for the space group: P2/m (10). The calculated formation energy is -0.94 eV per atom. The density of states at the Fermi level comes out at 1.1 states/eV/cell.

Cell and atoms, written as POSCAR:
```
Ac2TbNdBi4
1.0
-2.9058 -0.5397 -3.6803
6.2648 -2.5782 -4.5683
0.6842 -8.1144 0.6497
Nd Bi Tb Ac
1 4 1 2
Cartesian
2.3637 -9.6733 -3.4747 Nd
5.1063 -7.9935 -2.8595 Bi
3.3019 -4.2615 -5.0090 Bi
-1.0631 -3.2388 -4.7395 Bi
0.7413 -6.9707 -2.5900 Bi
3.4745 -5.3463 -1.9593 Tb
-1.1108 -4.3270 -1.5153 Ac
0.6842 -8.1144 0.6497 Ac
```

***

Record 8
A plane-wave DFT calculation with GGA-PBE was carried out for crystalline AcTbNd2Bi4 at its relaxed geometry.

Output
As for the space group: P2/m (10). The calculated formation energy is -0.92 eV per atom. The density of states at the Fermi level comes out at 1.0 states/eV/cell.

Cell and atoms, written as POSCAR:
```
AcTbNd2Bi4
1.0
4.6567 0.0000 0.0000
0.0000 8.0615 -0.1642
0.0000 2.8323 7.5412
Nd Bi Ac Tb
2 4 1 1
Cartesian
0.0000 2.8323 7.5412 Nd
2.3284 1.4161 3.7706 Nd
2.3284 6.7794 1.8357 Bi
0.0001 8.1922 5.4382 Bi
2.3284 4.1144 5.5412 Bi
4.6567 2.7016 1.9388 Bi
2.3284 4.0308 -0.0821 Ac
0.0000 5.4469 3.6885 Tb
```

***

Record 9
A plane-wave DFT calculation with GGA-PBE was carried out for crystalline Ac2Nd2Bi3Te2 at its relaxed geometry.

Output
As for the space group: I4/mmm (139). The uncorrected formation energy comes out at -0.756 eV/atom. The density of states at the Fermi level comes out at 6.6 states/eV/cell.

Cell and atoms, written as POSCAR:
```
Ac2Nd2Bi3Te2
1.0
-3.0566 4.8024 2.8519
-1.6090 -3.8703 4.7928
9.4431 1.6346 0.2610
Nd Bi Te Ac
2 3 2 2
Cartesian
-0.8045 -1.9352 2.3964 Nd
-1.5283 2.4012 1.4260 Nd
2.7506 -0.8848 4.4381 Bi
2.0268 3.4515 3.4676 Bi
0.0000 0.0000 0.0000 Bi
5.7331 1.6938 3.2924 Te
-0.9556 0.8729 4.6133 Te
2.8806 0.8511 1.6543 Ac
1.8968 1.7156 6.2514 Ac
```

***

Record 10
A plane-wave DFT calculation with GGA-PBE was carried out for crystalline Ac2NdThBi4 at its relaxed geometry.

Output
As for the space group: P2/m (10). The calculated formation energy is -0.89 eV per atom. The density of states at the Fermi level comes out at 1.8 states/eV/cell.

Cell and atoms, written as POSCAR:
```
Ac2NdThBi4
1.0
-3.9575 1.6742 -1.9766
-2.5470 -7.6478 -1.3782
-2.6487 2.4656 7.3916
Bi Nd Ac Th
4 1 2 1
Cartesian
-2.5129 -5.1106 0.7026 Bi
-3.2271 -0.4694 0.4045 Bi
-5.9261 -3.0386 3.6323 Bi
-2.6828 -0.0716 5.3109 Bi
0.0000 0.0000 0.0000 Nd
-3.3031 2.0699 2.7075 Ac
-2.5978 -2.5911 3.0067 Ac
-3.2522 -2.9868 -1.6774 Th
```

***

Record 11
A plane-wave DFT calculation with GGA-PBE was carried out for crystalline Ac2NdThBi5 at its relaxed geometry.

Output
As for the space group: P4/mmm (123). The calculated formation energy is -0.19 eV per atom. The density of states at the Fermi level comes out at 6.9 states/eV/cell.

Cell and atoms, written as POSCAR:
```
Ac2NdThBi5
1.0
-2.5347 3.6659 -3.6648
0.5194 -3.8793 -4.2397
-10.9409 -4.6505 2.9150
Th Bi Ac Nd
1 5 2 1
Cartesian
-5.4704 -2.3253 1.4575 Th
-6.7378 -0.4923 -0.3749 Bi
-2.6868 -1.1421 0.7159 Bi
-8.2540 -3.5084 2.1991 Bi
-5.2108 -4.2649 -0.6624 Bi
-1.0076 -0.1067 -3.9523 Bi
-8.8621 -3.4453 -1.8596 Ac
-4.0941 -1.4186 -3.1299 Ac
0.0000 0.0000 0.0000 Nd
```

***

Record 12
A plane-wave DFT calculation with GGA-PBE was carried out for crystalline AcNdTh2Bi4 at its relaxed geometry.

Output
As for the space group: I-4m2 (119). The calculated formation energy is -0.76 eV per atom. The density of states at the Fermi level comes out at 3.6 states/eV/cell.

Cell and atoms, written as POSCAR:
```
AcNdTh2Bi4
1.0
6.6019 0.0034 0.0000
-0.0033 6.6019 -0.0001
-3.2993 -3.3027 6.5958
Nd Bi Ac Th
1 4 1 2
Cartesian
3.3010 0.0017 3.2979 Nd
-0.0016 3.3010 0.0164 Bi
0.0000 -0.0001 3.2247 Bi
3.2993 3.3026 3.3710 Bi
-0.0016 3.3009 6.5792 Bi
3.2993 3.3027 0.0000 Ac
-0.0016 3.3009 3.2978 Th
0.0000 0.0000 0.0000 Th
```